DFT (GGA-PBEsol) results for crystalline Li3Mn2CoO6 at its relaxed geometry.

Formation energy (no corrections): -1.733 eV per atom
Fermi-level density of states: 1.3 states/eV/cell

Cell: 4.8968 4.8968 5.0645 Å, 99.41 99.41 119.94°
With the nearest neighbours (Å) after each atom.
Element x y z (fractional)
Co1 0.0003 0.9997 0.5000  6 O 2.06-2.07
O1 0.7218 0.7218 0.7325  2 Mn 1.93, 3 Li 1.99-2.10, 1 Co 2.07
O2 0.2782 0.2782 0.2675  2 Mn 1.93, 3 Li 1.99-2.10, 1 Co 2.07
O3 0.4339 0.0771 0.7296  2 Mn 1.92-1.93, 3 Li 2.01-2.14, 1 Co 2.06
O4 0.5663 0.9230 0.2707  2 Mn 1.92-1.93, 3 Li 2.01-2.14, 1 Co 2.06
O5 0.9229 0.5661 0.2704  2 Mn 1.92-1.93, 3 Li 2.01-2.14, 1 Co 2.06
O6 0.0770 0.4337 0.7293  2 Mn 1.92-1.93, 3 Li 2.01-2.14, 1 Co 2.06
Li1 0.8371 0.1629 0.0000  6 O 2.01-2.14
Li2 0.5000 0.5000 0.0000  6 O 1.99-2.13
Li3 0.1631 0.8369 0.0000  6 O 2.01-2.14
Mn1 0.6668 0.3332 0.5000  6 O 1.92-1.93
Mn2 0.3331 0.6669 0.5000  6 O 1.92-1.93